(1)
The following is a DFT calculation (GGA-PBE) of a relaxed structure of K2YCu2O4.

**Energy**: -5.60 eV per atom
**Magnetization**: 0.25 μB/f.u.

```
K2YCu2O4
1.0
-2.384 -0.279 2.423
3.877 -3.960 3.360
2.489 6.347 0.779
O Cu K Y
4 2 2 1
direct
0.465 0.205 0.931
0.187 0.179 0.374
0.813 0.821 0.626
0.535 0.795 0.069
0.313 0.966 0.626
0.687 0.034 0.374
0.126 0.552 0.252
0.874 0.448 0.748
0.000 0.000 0.000
```

=====

(2)
The following is a DFT calculation (GGA-PBE) of a relaxed structure of KYCuO2.

**Energy**: -6.01 eV per atom
**Magnetization**: 0.00 μB/f.u.

```
KYCuO2
1.0
-0.805 1.643 5.409
-3.809 -5.826 1.203
4.058 -4.921 2.099
Y K O Cu
2 2 4 2
direct
0.487 0.000 0.250
0.513 0.000 0.750
0.812 0.500 0.250
0.188 0.500 0.750
0.709 0.879 0.050
0.291 0.879 0.550
0.709 0.121 0.450
0.291 0.121 0.950
0.000 0.000 0.500
0.000 0.000 0.000
```

=====

(3)
The following is a DFT calculation (GGA-PBE) of a relaxed structure of KYCu2O4.

**Energy**: -6.11 eV per atom
**Magnetization**: 0.00 μB/f.u.

```
KYCu2O4
1.0
3.884 0.000 0.000
0.000 3.884 0.000
0.000 0.000 7.159
Cu O Y K
2 4 1 1
direct
0.500 0.500 0.279
0.500 0.500 0.721
0.000 0.500 0.701
0.500 0.000 0.299
0.000 0.500 0.299
0.500 0.000 0.701
0.000 0.000 0.500
0.000 0.000 0.000
```

=====

(4)
The following is a DFT calculation (GGA-PBE) of a relaxed structure of KZnCuO2.

**Energy**: -4.37 eV per atom
**Magnetization**: 0.00 μB/f.u.

```
KZnCuO2
1.0
-4.109 -2.056 -1.271
-0.953 -1.407 5.356
-2.364 5.857 -1.830
K O Zn Cu
2 4 2 2
direct
0.745 0.250 0.500
0.255 0.750 0.500
0.697 0.598 0.196
0.697 0.902 0.804
0.303 0.402 0.804
0.303 0.098 0.196
0.500 0.250 0.000
0.500 0.750 0.000
0.000 0.500 0.000
0.000 0.000 0.000
```

=====

(5)
The following is a DFT calculation (GGA-PBE) of a relaxed structure of KZr4Cu3O12.

**Energy**: -7.59 eV per atom
**Magnetization**: 2.01 μB/f.u.

```
KZr4Cu3O12
1.0
-2.576 -4.318 -4.597
6.644 0.902 -1.206
-0.845 -2.570 6.253
O Zr K Cu
12 4 1 3
direct
0.513 0.682 0.831
0.682 0.169 0.851
0.851 0.682 0.169
0.149 0.318 0.831
0.318 0.831 0.149
0.169 0.487 0.318
0.682 0.831 0.513
0.487 0.318 0.169
0.318 0.169 0.487
0.831 0.149 0.318
0.169 0.851 0.682
0.831 0.513 0.682
0.000 0.500 0.000
0.500 0.500 0.500
0.000 0.000 0.500
0.500 0.000 0.000
0.000 0.000 0.000
0.500 0.000 0.500
0.500 0.500 0.000
0.000 0.500 0.500
```

=====

(6)
The following is a DFT calculation (GGA-PBE) of a relaxed structure of KCuOs2.

**Energy relative to the elements**: 850.0 meV per atom
**Excess energy over the best structure of this formula in the dataset**: 0.154 eV per atom
**Energy**: -6.06 eV per atom
**Magnetization**: 0.00 μB/f.u.

```
KCuOs2
1.0
10.357 0.009 0.005
10.000 2.699 0.005
10.000 1.330 2.348
K Cu Os
1 1 2
direct
0.750 0.750 0.750
0.250 0.250 0.250
0.513 0.513 0.513
0.987 0.987 0.987
```

=====

(7)
The following is a DFT calculation (GGA-PBE) of a relaxed structure of K2CuOs.

**Energy relative to the elements**: 1184.8 meV per atom
**Excess energy over the best structure of this formula in the dataset**: 0.391 eV per atom
**Energy**: -3.20 eV per atom
**Magnetization**: 0.00 μB/f.u.

```
K2CuOs
1.0
-1.125 -2.448 0.309
3.996 -1.416 3.331
-3.074 1.984 4.530
K Cu Os
2 1 1
direct
0.000 0.000 0.001
0.000 0.000 0.499
0.500 0.500 0.750
0.500 0.500 0.250
```

=====

(8)
The following is a DFT calculation (GGA-PBE) of a relaxed structure of K2CuOs.

**Energy relative to the elements**: 1145.7 meV per atom
**Excess energy over the best structure of this formula in the dataset**: 0.352 eV per atom
**Energy**: -3.23 eV per atom
**Magnetization**: 0.52 μB/f.u.

```
K2CuOs
1.0
2.814 0.000 0.000
0.000 2.814 0.000
0.000 0.000 10.822
Os K Cu
1 2 1
direct
0.500 0.500 0.250
0.000 0.000 0.499
0.000 0.000 0.001
0.500 0.500 0.750
```

=====

Among the records above, which one has the lowest energy?
KZr4Cu3O12

=====

Which of these has the lowest energy?
KZr4Cu3O12